Record 1
MnAsRu2: optimized geometry, GGA-PBE.

## Properties
Energy relative to the elements in eV/f.u.: 0.2

Geometry as POSCAR:
```
MnAsRu2
1.0
2.877 0.000 0.000
0.000 3.869 0.000
-1.245 0.000 5.168
Mn As Ru
1 1 2
Cartesian
0.000 0.000 0.000 Mn
-0.622 0.000 2.584 As
0.143 1.935 3.848 Ru
1.490 1.935 1.320 Ru
```


Record 2
MnAsRu2: optimized geometry, GGA-PBE.

## Properties
Energy relative to the elements in eV/f.u.: 0.1

Geometry as POSCAR:
```
MnAsRu2
1.0
8.257 0.000 0.000
0.000 2.881 0.000
-0.828 0.000 4.756
Mn As Ru
2 2 4
Cartesian
0.000 0.000 0.000 Mn
4.128 1.441 0.000 Mn
-0.414 1.441 2.378 As
3.714 0.000 2.378 As
1.822 1.441 1.168 Ru
1.478 0.000 3.587 Ru
5.951 0.000 1.168 Ru
5.607 1.441 3.587 Ru
```


Record 3
Mn2AsRu: optimized geometry, GGA-PBE.

## Properties
Energy relative to the elements in eV/f.u.: -0.1

Geometry as POSCAR:
```
Mn2AsRu
1.0
3.702 0.000 0.000
0.000 3.702 0.000
0.000 0.000 3.867
Mn As Ru
2 1 1
Cartesian
0.000 1.851 0.000 Mn
1.851 0.000 0.000 Mn
0.000 0.000 1.933 As
1.851 1.851 1.933 Ru
```


Record 4
MnAsRu2: optimized geometry, GGA-PBE.

## Properties
Energy relative to the elements in eV/f.u.: 0.3

Geometry as POSCAR:
```
MnAsRu2
1.0
3.742 0.000 0.000
0.000 3.742 0.000
0.000 0.000 7.866
Mn As Ru
2 2 4
Cartesian
0.000 0.000 0.000 Mn
1.871 1.871 3.933 Mn
0.000 1.871 1.967 As
1.871 0.000 5.900 As
0.000 0.000 3.933 Ru
0.000 1.871 5.900 Ru
1.871 0.000 1.967 Ru
1.871 1.871 0.000 Ru
```


Record 5
MnAsRu2: optimized geometry, GGA-PBE.

## Properties
Energy relative to the elements in eV/f.u.: 2.5

Geometry as POSCAR:
```
MnAsRu2
1.0
5.318 0.000 0.000
0.000 5.318 0.000
0.000 0.000 10.759
Mn As Ru
4 4 8
Cartesian
0.000 0.000 0.000 Mn
0.000 2.659 2.690 Mn
2.659 0.000 8.069 Mn
2.659 2.659 5.379 Mn
0.000 0.000 5.379 As
0.000 2.659 8.069 As
2.659 0.000 2.690 As
2.659 2.659 0.000 As
1.196 1.329 1.345 Ru
1.329 3.855 4.034 Ru
1.329 4.122 9.414 Ru
1.463 1.329 6.724 Ru
3.855 3.988 6.724 Ru
3.988 1.196 9.414 Ru
3.988 1.463 4.034 Ru
4.122 3.988 1.345 Ru
```


Record 6
Mn2AsRu2: optimized geometry, GGA-PBE.

## Properties
Energy relative to the elements in eV/f.u.: 1.2
ΔE to the lowest computed polymorph in eV per formula unit: 0.00

Geometry as POSCAR:
```
Mn2AsRu2
1.0
3.171 0.000 0.000
0.000 3.171 0.000
0.000 0.000 13.557
Mn As Ru
4 2 4
Cartesian
0.000 1.586 3.389 Mn
0.000 1.586 10.168 Mn
1.586 0.000 3.389 Mn
1.586 0.000 10.168 Mn
0.000 0.000 0.000 As
1.586 1.586 6.778 As
0.000 0.000 5.390 Ru
0.000 0.000 8.167 Ru
1.586 1.586 1.388 Ru
1.586 1.586 12.169 Ru
```


no.,density (g cm⁻³)
1,9.6
2,9.7
3,9.0
4,10.0
5,7.2
6,9.4